Entry 1:
First-principles (GGA-PBE) data for VAgHg2Bi after structural relaxation, as listed in Alexandria via LeMat-Bulk.

Lattice parameters (Å, degrees): 5.241 5.241 5.164 90.00 90.00 90.00
Space group P4/mmm (No. 123)
Unique sites:
V1 0.000 0.000 0.000 (multiplicity 1)
Ag1 0.500 0.500 0.500 (multiplicity 1)
Hg1 0.000 0.500 0.000 (multiplicity 2)
Bi1 0.000 0.000 0.500 (multiplicity 1)

ΔE_f   0.636 eV per atom

---

Entry 2:
First-principles (GGA-PBE) data for Tb6PC2Se3 after structural relaxation, as listed in Alexandria via LeMat-Bulk.

Lattice parameters (Å, degrees): 17.345 3.874 8.036 90.00 105.44 90.00
Space group C2/m (No. 12)
Unique sites:
Tb1 0.017 0.000 0.251 (multiplicity 4)
Tb2 0.168 0.500 0.120 (multiplicity 4)
Tb3 0.178 0.500 0.559 (multiplicity 4)
P1 0.000 0.500 0.000 (multiplicity 2)
C1 0.169 0.000 0.336 (multiplicity 4)
Se1 0.000 0.500 0.500 (multiplicity 2)
Se2 0.162 0.000 0.832 (multiplicity 4)

Formation energy (no corrections)   -131.4 kJ/mol of atoms

---

Computed spin magnetization, in the same sequence as the records: 0.00, 0.00 μB/f.u..
Computed E, in the same sequence as the records: -13.28, -156.87 eV/cell.